Entry 1:
Compound: NaMg8Zn2
Source: Alexandria
Functional: GGA-PBE
Structure: optimized geometry

Lattice parameters (Å, degrees): 5.2551 7.4482 7.4482 114.50 80.90 80.90
Last column: nearest neighbours and their distance in Å.
Fractional positions:
Na 0.5000 0.0000 0.0000  12 Mg 3.14-3.44
Mg 0.9026 0.0791 0.3239  2 Zn 2.75-2.79, 1 Mg 3.07
Mg 0.9026 0.3239 0.0791  2 Zn 2.75-2.79, 1 Mg 3.07
Mg 0.2944 0.4074 0.4074  2 Zn 2.85, 2 Mg 2.96-3.02, 1 Na 3.14
Mg 0.5000 0.2530 0.7470  2 Zn 2.71
Mg 0.5000 0.7470 0.2530  2 Zn 2.71
Mg 0.7056 0.5926 0.5926  2 Zn 2.85, 2 Mg 2.96-3.02, 1 Na 3.14
Mg 0.0974 0.6761 0.9209  2 Zn 2.75-2.79, 1 Mg 3.07
Mg 0.0974 0.9209 0.6761  2 Zn 2.75-2.79, 1 Mg 3.07
Zn 0.0000 0.6926 0.3074  8 Mg 2.71-2.85
Zn 0.0000 0.3074 0.6926  8 Mg 2.71-2.85

Values from the calculation:
Energy, eV/atom: -1.462



Entry 2:
Compound: NaMg2Zn6
Source: Alexandria
Functional: GGA-PBE
Structure: optimized geometry

Lattice parameters (Å, degrees): 3.0800 7.7944 8.3006 118.00 111.29 90.00
Last column: nearest neighbours and their distance in Å.
Fractional positions:
Na 0.0000 0.0000 0.0000  12 Zn 3.02-3.04, 2 Na 3.08
Mg 0.6651 0.3331 0.6662  12 Zn 2.97-3.02, 2 Mg 3.08
Mg 0.3349 0.6669 0.3338  12 Zn 2.97-3.02, 2 Mg 3.08
Zn 0.8324 0.0006 0.3365  3 Zn 2.53-2.61
Zn 0.1676 0.9994 0.6635  3 Zn 2.53-2.61
Zn 0.1676 0.6641 0.6635  3 Zn 2.53-2.61
Zn 0.5000 0.3367 0.0000  3 Zn 2.55-2.61
Zn 0.5000 0.6633 0.0000  3 Zn 2.55-2.61
Zn 0.8324 0.3359 0.3365  3 Zn 2.53-2.61

Values from the calculation:
Energy, eV/atom: -1.399



Entry 3:
Compound: Na2MgZn
Source: Alexandria
Functional: GGA-PBE
Structure: optimized geometry

Lattice parameters (Å, degrees): 3.2461 3.2461 11.5236 81.90 81.90 60.00
Last column: nearest neighbours and their distance in Å.
Fractional positions:
Na 0.0936 0.0936 0.7192  3 Zn 3.12, 1 Mg 3.19, 6 Na 3.25
Na 0.9064 0.9064 0.2808  3 Zn 3.12, 1 Mg 3.19, 6 Na 3.25
Zn 0.5000 0.5000 0.5000  6 Na 3.12, 6 Zn 3.25
Mg 0.0000 0.0000 0.0000  2 Na 3.19, 6 Mg 3.25

Values from the calculation:
E above lowest polymorph, meV/atom: 82



Entry 4:
Compound: NaMgZn
Source: Alexandria
Functional: GGA-PBE
Structure: optimized geometry

Lattice parameters (Å, degrees): 3.3174 3.3174 6.7111 104.31 104.31 90.00
Last column: nearest neighbours and their distance in Å.
Fractional positions:
Na 0.0135 0.0135 0.0270  4 Zn 3.15, 4 Na 3.32, 4 Mg 3.51
Zn 0.6806 0.6806 0.3611  4 Mg 2.83, 4 Na 3.15
Mg 0.3059 0.3059 0.6119  4 Zn 2.83

Values from the calculation:
E above lowest polymorph, meV/atom: 63



Entry 5:
Compound: NaMg9Zn3
Source: Alexandria
Functional: GGA-PBE
Structure: optimized geometry

Lattice parameters (Å, degrees): 5.6408 7.5485 7.6827 82.46 68.46 69.06
Last column: nearest neighbours and their distance in Å.
Fractional positions:
Na 0.0000 0.0000 0.0000  14 Mg 3.50-3.77, 6 Zn 3.82-3.84
Mg 0.7034 0.7873 0.7797  3 Zn 2.85-2.89, 6 Mg 2.98-3.16
Mg 0.2966 0.2127 0.2203  3 Zn 2.85-2.89, 6 Mg 2.98-3.16
Mg 0.5169 0.2127 0.7797  3 Zn 2.85-2.89, 6 Mg 2.98-3.16
Mg 0.4831 0.7873 0.2203  3 Zn 2.85-2.89, 6 Mg 2.98-3.16
Mg 0.6580 0.3391 0.3570  3 Zn 2.95-3.15, 5 Mg 3.06-3.16
Mg 0.3420 0.6609 0.6430  3 Zn 2.95-3.15, 5 Mg 3.06-3.16
Mg 0.9850 0.6609 0.3570  3 Zn 2.95-3.15, 5 Mg 3.06-3.16
Mg 0.0150 0.3391 0.6430  3 Zn 2.95-3.15, 5 Mg 3.06-3.16
Mg 0.0000 0.5000 0.0000  2 Zn 2.82, 8 Mg 2.98-3.10
Zn 0.5000 0.5000 0.0000  10 Mg 2.82-3.15
Zn 0.0000 0.0000 0.5000  2 Zn 2.82, 8 Mg 2.85-2.96
Zn 0.5000 0.0000 0.5000  2 Zn 2.82, 8 Mg 2.85-2.96

Values from the calculation:
Energy, eV/atom: -1.512



Entry 6:
Compound: Na2MgZn
Source: Alexandria
Functional: GGA-PBE
Structure: optimized geometry

Lattice parameters (Å, degrees): 4.9834 4.4706 4.4706 90.00 90.00 90.00
Last column: nearest neighbours and their distance in Å.
Fractional positions:
Na 0.0000 0.0000 0.5000  4 Na 3.16, 4 Zn 3.35, 4 Mg 3.35
Na 0.0000 0.5000 0.0000  4 Na 3.16, 4 Zn 3.35, 4 Mg 3.35
Zn 0.5000 0.5000 0.5000  4 Mg 3.16, 8 Na 3.35
Mg 0.5000 0.0000 0.0000  4 Zn 3.16, 8 Na 3.35

Values from the calculation:
E above lowest polymorph, meV/atom: 0



Entry 7:
Compound: Na2MgZn2
Source: Alexandria
Functional: GGA-PBE
Structure: optimized geometry

Lattice parameters (Å, degrees): 8.7567 8.7567 3.0486 90.00 90.00 90.00
Last column: nearest neighbours and their distance in Å.
Fractional positions:
Na 0.3731 0.8731 0.0000  6 Zn 2.92-3.05, 3 Na 3.05-3.14
Na 0.8731 0.6269 0.0000  6 Zn 2.92-3.05, 3 Na 3.05-3.14
Na 0.6269 0.1269 0.0000  6 Zn 2.92-3.05, 3 Na 3.05-3.14
Na 0.1269 0.3731 0.0000  6 Zn 2.92-3.05, 3 Na 3.05-3.14
Zn 0.1720 0.6720 0.5000  6 Na 2.92-3.05, 2 Zn 3.05
Zn 0.6720 0.8280 0.5000  6 Na 2.92-3.05, 2 Zn 3.05
Zn 0.8280 0.3280 0.5000  6 Na 2.92-3.05, 2 Zn 3.05
Zn 0.3280 0.1720 0.5000  6 Na 2.92-3.05, 2 Zn 3.05
Mg 0.0000 0.0000 0.0000  2 Mg 3.05
Mg 0.5000 0.5000 0.0000  2 Mg 3.05

Values from the calculation:
E above lowest polymorph, meV/atom: 116



Entry 8:
Compound: Na3MgZn8
Source: Alexandria
Functional: GGA-PBE
Structure: optimized geometry

Lattice parameters (Å, degrees): 5.3088 5.3088 9.5340 73.83 73.83 60.00
Last column: nearest neighbours and their distance in Å.
Fractional positions:
Na 0.3747 0.3747 0.8758  12 Zn 3.11-3.23, 4 Na 3.26-3.38
Na 0.0009 0.0009 0.9974  12 Zn 3.12-3.21, 3 Na 3.26, 1 Mg 3.42
Na 0.4995 0.4995 0.5015  12 Zn 3.12-3.20, 3 Mg 3.27, 1 Na 3.38
Mg 0.8747 0.8747 0.3759  12 Zn 3.12-3.18, 4 Na 3.27-3.42
Zn 0.9356 0.4370 0.1905  6 Zn 2.65-2.76
Zn 0.4397 0.9378 0.6847  6 Zn 2.64-2.73
Zn 0.4370 0.4370 0.1905  6 Zn 2.65-2.76
Zn 0.9378 0.9378 0.6847  6 Zn 2.64-2.73
Zn 0.1872 0.1872 0.4385  6 Zn 2.70-2.72
Zn 0.6882 0.6882 0.9354  6 Zn 2.73-2.76
Zn 0.4370 0.9356 0.1905  6 Zn 2.65-2.76
Zn 0.9378 0.4397 0.6847  6 Zn 2.64-2.73

Values from the calculation:
Energy, eV/atom: -1.359